The following is a GGA-PBE calculation of a relaxed structure of Ta2HPb2, from the Alexandria database.

The total energy is -58.1 eV per cell. For the density, the calculation gives 11.19 Mg/m³. Its crystal system is tetragonal. For the density of states at the Fermi level, the calculation gives 4.06 states/eV per cell. For the volume, the calculation gives 231 Å³ per cell. The energy above the most stable polymorph in this dataset is 0.139 eV/atom.

It has space group P4/mbm (No. 127), with a = 8.721 Å, b = 8.721 Å, c = 3.033 Å, α = 90.00°, β = 90.00° and γ = 90.00°. The distinct sites, in fractional coordinates, are Ta at (0.110, 0.390, 0.000), H at (0.000, 0.000, 0.500) and Pb at (0.182, 0.682, 0.500).

The following is a GGA-PBE calculation of a relaxed structure of TaH3Pb, from the Alexandria database.

The total energy is -18.2 eV per cell. For the density, the calculation gives 10.21 Mg/m³. Its crystal system is cubic. For the density of states at the Fermi level, the calculation gives 2.65 states/eV per cell. For the volume, the calculation gives 64 Å³ per cell. The energy above the most stable polymorph in this dataset is 1.169 eV/atom.

It has space group Pm-3m (No. 221), with a = 3.992 Å, b = 3.992 Å, c = 3.992 Å, α = 90.00°, β = 90.00° and γ = 90.00°. The distinct sites, in fractional coordinates, are Ta at (0.000, 0.000, 0.000), H at (0.000, 0.500, 0.500) and Pb at (0.500, 0.500, 0.500).